# FeTcRu SCAN single point on PBEsol structure
# formation energy from the elements	0.7366	eV per atom
# theoretical density	9.6	g/cm3
# DOS(E_F)	12.7	states/eV per cell
# energy	-28.602	eV/atom
# V	44.20	Å³/f.u.
data_FeTcRu
_space_group_name_H-M_alt 'F -4 3 m'
_space_group_IT_number 216
_space_group_name_Hall 'F -4 2 3'
_cell_length_a 5.612
_cell_length_b 5.612
_cell_length_c 5.612
_cell_angle_alpha 90.00
_cell_angle_beta 90.00
_cell_angle_gamma 90.00
loop_
_atom_site_label
_atom_site_type_symbol
_atom_site_fract_x
_atom_site_fract_y
_atom_site_fract_z
Fe1 Fe 0.000 0.000 0.000
Tc1 Tc 0.250 0.250 0.250
Ru1 Ru 0.000 0.000 0.500